Entry from Alexandria: a geometry-optimized Ce3PrH structure (GGA-PBE).

a = 4.981 Å, b = 4.981 Å, c = 4.981 Å
α = 90.00°, β = 90.00°, γ = 90.00°
Site moments in Bohr magnetons follow the coordinates.
Fractional positions:
Ce 0.000 0.500 0.000  0.56
Pr 0.500 0.500 0.500  -0.02
Ce 0.000 0.000 0.500  0.56
H 0.000 0.000 0.000  0.00
Ce 0.500 0.000 0.000  0.56

- V (A^3/atom) = 24.71
- final energy (eV per cell) = -26.24
- Fermi-level density of states (states/eV/cell) = 12.16
- theoretical density (g cm⁻³) = 7.56